(1)
YMnCl2: optimized geometry, GGA-PBE. Values from VASP.

Results
Mass density   3.82 g/cm³
Magnetic moment   4.32 μB per formula unit
Uncorrected formation energy   -0.669 eV/atom

Cell and atoms, written as Quantum ESPRESSO input:
```
&SYSTEM
  ibrav = 0, nat = 4, ntyp = 3
/
ATOMIC_SPECIES
Cl 35.45 Cl.upf
Y 88.91 Y.upf
Mn 54.94 Mn.upf
CELL_PARAMETERS angstrom
4.547 0.000 0.000
0.000 3.615 0.013
0.000 -0.273 5.673
ATOMIC_POSITIONS angstrom
Cl 0.000 1.694 2.872
Cl 0.000 3.319 5.657
Y 2.273 2.507 4.264
Mn 2.273 0.836 1.421
```

(2)
Sc4Ga2AgHg: optimized geometry, GGA-PBE. Values from VASP.

Results
Mass density   6.47 g/cm³
Calculated formation energy   -0.48 eV per atom
Magnetic moment   0.01 μB per formula unit

Cell and atoms, written as Quantum ESPRESSO input:
```
&SYSTEM
  ibrav = 0, nat = 8, ntyp = 4
/
ATOMIC_SPECIES
Sc 44.96 Sc.upf
Ga 69.72 Ga.upf
Ag 107.87 Ag.upf
Hg 200.59 Hg.upf
CELL_PARAMETERS angstrom
-1.146 1.052 4.587
2.985 -1.274 3.595
4.373 6.883 2.070
ATOMIC_POSITIONS angstrom
Sc 3.258 2.405 7.934
Sc 2.953 4.256 2.318
Sc 4.502 5.915 4.882
Sc 1.709 0.747 5.370
Ga 1.575 1.706 2.559
Ag 3.106 3.331 5.126
Hg 0.000 0.000 0.000
Ga 4.637 4.956 7.693
```

(3)
Sc2MnCo: optimized geometry, GGA-PBE. Values from VASP.

Results
Mass density   5.22 g/cm³
Calculated formation energy   -0.13 eV per atom
Magnetic moment   2.52 μB per formula unit

Cell and atoms, written as Quantum ESPRESSO input:
```
&SYSTEM
  ibrav = 0, nat = 4, ntyp = 3
/
ATOMIC_SPECIES
Mn 54.94 Mn.upf
Co 58.93 Co.upf
Sc 44.96 Sc.upf
CELL_PARAMETERS angstrom
-0.054 0.668 3.052
-0.807 -2.952 0.632
6.413 -1.652 0.475
ATOMIC_POSITIONS angstrom
Mn 4.379 -2.381 2.198
Co 1.173 -1.555 1.961
Sc 0.106 -0.027 0.008
Sc 3.100 -0.799 0.229
```

(4)
K2CrIn: optimized geometry, GGA-PBE. Values from VASP.

Results
Mass density   2.35 g/cm³
Calculated formation energy   0.42 eV per atom
Magnetic moment   4.22 μB per formula unit

Cell and atoms, written as Quantum ESPRESSO input:
```
&SYSTEM
  ibrav = 0, nat = 4, ntyp = 3
/
ATOMIC_SPECIES
K 39.10 K.upf
In 114.82 In.upf
Cr 52.00 Cr.upf
CELL_PARAMETERS angstrom
4.937 0.044 0.016
2.488 4.265 0.016
2.417 1.403 8.282
ATOMIC_POSITIONS angstrom
K 7.415 4.303 0.786
In 2.458 1.426 3.115
Cr 4.918 2.854 3.118
K 7.397 4.292 5.480
```

(5)
AcAlZnAg2: optimized geometry, GGA-PBE. Values from VASP.

Results
Mass density   7.78 g/cm³
Calculated formation energy   -0.26 eV per atom
Magnetic moment   0.00 μB per formula unit

Cell and atoms, written as Quantum ESPRESSO input:
```
&SYSTEM
  ibrav = 0, nat = 5, ntyp = 4
/
ATOMIC_SPECIES
Ag 107.87 Ag.upf
Ac 227.00 Ac.upf
Al 26.98 Al.upf
Zn 65.41 Zn.upf
CELL_PARAMETERS angstrom
4.714 0.000 0.000
0.000 4.716 0.000
-2.357 -2.358 5.139
ATOMIC_POSITIONS angstrom
Ag 2.357 0.000 2.106
Ac 0.000 0.000 4.547
Ag 0.000 0.000 0.610
Al 2.357 2.358 3.197
Zn 0.000 2.358 1.997
```

(6)
LiTb2Ag3: optimized geometry, GGA-PBE. Values from VASP.

Results
Mass density   8.03 g/cm³
Calculated formation energy   -0.23 eV per atom
Magnetic moment   0.00 μB per formula unit

Cell and atoms, written as Quantum ESPRESSO input:
```
&SYSTEM
  ibrav = 0, nat = 12, ntyp = 3
/
ATOMIC_SPECIES
Tb 158.93 Tb.upf
Ag 107.87 Ag.upf
Li 6.94 Li.upf
CELL_PARAMETERS angstrom
5.042 0.000 0.000
-2.521 4.366 0.000
0.000 0.000 12.189
ATOMIC_POSITIONS angstrom
Tb 0.000 2.911 2.197
Tb 0.000 0.000 0.000
Ag 0.000 0.000 3.071
Ag 0.000 2.911 11.172
Tb 0.000 0.000 6.094
Li 2.521 1.455 4.045
Tb 2.521 1.455 9.992
Li 0.000 2.911 8.144
Ag 0.000 2.911 5.253
Ag 2.521 1.455 6.936
Ag 0.000 0.000 9.118
Ag 2.521 1.455 1.017
```

(7)
CoAgCl2: optimized geometry, GGA-PBE. Values from VASP.

Results
Mass density   4.36 g/cm³
Magnetic moment   0.00 μB per formula unit
Uncorrected formation energy   -0.157 eV/atom

Cell and atoms, written as Quantum ESPRESSO input:
```
&SYSTEM
  ibrav = 0, nat = 4, ntyp = 3
/
ATOMIC_SPECIES
Ag 107.87 Ag.upf
Co 58.93 Co.upf
Cl 35.45 Cl.upf
CELL_PARAMETERS angstrom
6.617 0.132 -0.005
4.021 5.258 0.005
-4.807 -3.706 2.640
ATOMIC_POSITIONS angstrom
Ag 2.267 2.123 1.322
Co 3.565 -0.440 1.317
Cl 9.363 4.744 0.000
Cl 6.595 3.341 0.000
```

(8)
TbCdPd6: optimized geometry, GGA-PBE. Values from VASP.

Results
Mass density   9.69 g/cm³
Calculated formation energy   -0.26 eV per atom
Magnetic moment   0.00 μB per formula unit

Cell and atoms, written as Quantum ESPRESSO input:
```
&SYSTEM
  ibrav = 0, nat = 8, ntyp = 3
/
ATOMIC_SPECIES
Pd 106.42 Pd.upf
Cd 112.41 Cd.upf
Tb 158.93 Tb.upf
CELL_PARAMETERS angstrom
-4.035 -1.689 -2.427
-0.425 -4.980 -0.208
-4.659 -1.575 5.245
ATOMIC_POSITIONS angstrom
Pd -3.139 -4.369 -1.372
Pd -5.538 -6.612 2.347
Pd -1.832 -3.226 1.339
Pd -3.581 -1.631 0.264
Cd 0.000 0.000 0.000
Tb -4.560 -4.122 1.305
Pd -5.980 -3.875 3.982
Pd -7.288 -5.018 1.272
```

(9)
BaNa3Bi3: optimized geometry, GGA-PBE. Values from VASP.

Results
Mass density   5.05 g/cm³
Calculated formation energy   -0.38 eV per atom
Magnetic moment   0.00 μB per formula unit

Cell and atoms, written as Quantum ESPRESSO input:
```
&SYSTEM
  ibrav = 0, nat = 14, ntyp = 3
/
ATOMIC_SPECIES
Bi 208.98 Bi.upf
Ba 137.33 Ba.upf
Na 22.99 Na.upf
CELL_PARAMETERS angstrom
5.325 0.000 0.000
0.000 9.465 -5.409
0.000 -0.057 10.903
ATOMIC_POSITIONS angstrom
Bi 3.994 9.054 -0.730
Ba 3.994 3.118 5.465
Na 1.331 6.629 4.582
Na 3.994 7.282 -3.457
Na 3.994 8.813 2.627
Bi 3.994 4.253 -1.987
Na 1.331 2.126 8.950
Bi 1.331 3.843 2.690
Ba 1.331 6.290 0.029
Na 1.331 0.595 2.867
Bi 3.994 5.565 2.804
Na 3.994 2.779 0.912
Bi 1.331 5.155 7.481
Bi 1.331 0.354 6.224
```

(10)
CaLaZr2: optimized geometry, GGA-PBE. Values from VASP.

Results
Mass density   5.28 g/cm³
Calculated formation energy   0.33 eV per atom
Magnetic moment   0.00 μB per formula unit

Cell and atoms, written as Quantum ESPRESSO input:
```
&SYSTEM
  ibrav = 0, nat = 4, ntyp = 3
/
ATOMIC_SPECIES
Ca 40.08 Ca.upf
Zr 91.22 Zr.upf
La 138.91 La.upf
CELL_PARAMETERS angstrom
4.764 0.000 0.000
0.000 4.771 0.000
0.000 0.000 5.005
ATOMIC_POSITIONS angstrom
Ca 2.382 0.000 2.502
Zr 0.000 0.000 0.000
Zr 2.382 2.385 0.000
La 0.000 2.385 2.502
```

(11)
GaAsRuSe2: optimized geometry, GGA-PBE. Values from VASP.

Results
Mass density   6.08 g/cm³
Magnetic moment   0.41 μB per formula unit
Uncorrected formation energy   1.087 eV/atom

Cell and atoms, written as Quantum ESPRESSO input:
```
&SYSTEM
  ibrav = 0, nat = 5, ntyp = 4
/
ATOMIC_SPECIES
Se 78.96 Se.upf
Ga 69.72 Ga.upf
As 74.92 As.upf
Ru 101.07 Ru.upf
CELL_PARAMETERS angstrom
4.831 0.000 0.000
0.000 4.831 0.000
0.000 0.000 4.722
ATOMIC_POSITIONS angstrom
Se 0.000 2.416 0.000
Se 2.416 0.000 0.000
Ga 0.000 0.000 0.000
As 0.000 0.000 2.361
Ru 2.416 2.416 2.361
```

(12)
Y3Cd7Hg2: optimized geometry, GGA-PBE. Values from VASP.

Results
Mass density   8.29 g/cm³
Calculated formation energy   -0.22 eV per atom
Magnetic moment   0.00 μB per formula unit

Cell and atoms, written as Quantum ESPRESSO input:
```
&SYSTEM
  ibrav = 0, nat = 12, ntyp = 3
/
ATOMIC_SPECIES
Cd 112.41 Cd.upf
Hg 200.59 Hg.upf
Y 88.91 Y.upf
CELL_PARAMETERS angstrom
-0.079 5.073 3.093
-4.756 3.554 -0.242
-5.417 -1.712 8.378
ATOMIC_POSITIONS angstrom
Cd -5.814 4.918 3.202
Hg -3.246 5.724 1.945
Cd -5.126 3.457 5.615
Cd -3.417 5.696 4.911
Cd -4.438 1.997 8.028
Y -6.445 6.686 5.994
Y -3.807 0.229 5.235
Hg -7.006 1.191 9.284
Y 0.000 0.000 0.000
Cd -6.835 1.218 6.319
Cd -3.377 3.097 3.326
Cd -6.875 3.818 7.904
```

Q: Number 4 is which compound?
A: K2CrIn